Material: MnBi2SeO
Method: DFT, PBE with a Hubbard U
State: relaxed

Summary:
- Energy: -4.5385 eV/atom
- Spin magnetization: 4.621 μB per cell

Lattice parameters (Å, degrees): 5.818 5.818 3.721 90.00 90.00 90.00
Atoms (fractional coordinates):
1 Mn 0.000 0.000 0.000
2 Bi 0.000 0.500 0.500
3 Bi 0.500 0.000 0.500
4 Se 0.500 0.500 0.500
5 O 0.500 0.500 0.000